[1]
The following is a DFT calculation (PBE) of an optimized crystal structure of TmNbBi.

Summary:
Distance to the lowest polymorph of the same formula in eV/atom: 0.439
E_tot in eV/atom: -5.44

abc: 5.039 5.039 5.039
angles: 60.00 60.00 60.00
Fractional coordinates of all 3 atoms:
Tm  0.000  0.000  0.000
Nb  0.250  0.250  0.250
Bi  0.750  0.750  0.750

=====

[2]
The following is a DFT calculation (PBE) of an optimized crystal structure of NdSmB2Ir2C2.

Summary:
E_tot in eV/atom: -7.80

abc: 3.803 3.803 7.881
angles: 90.00 90.00 90.00
Fractional coordinates of all 8 atoms:
Nd  0.000  0.000  0.000
Sm  0.500  0.500  0.333
B  0.000  0.000  0.514
B  0.500  0.500  0.820
Ir  0.000  0.500  0.666
Ir  0.500  0.000  0.666
C  0.000  0.000  0.321
C  0.500  0.500  0.014

=====

[3]
The following is a DFT calculation (PBE) of an optimized crystal structure of Tb2Si2MoWC.

Summary:
E_tot in eV/atom: -8.16

abc: 5.871 5.871 7.144
angles: 123.14 123.14 38.30
Fractional coordinates of all 7 atoms:
Tb  0.000  0.000  0.000
Tb  0.150  0.150  0.594
Si  0.443  0.443  0.633
Si  0.707  0.707  0.960
Mo  0.782  0.782  0.380
W  0.368  0.368  0.214
C  0.574  0.574  0.297

=====

[4]
The following is a DFT calculation (PBE) of an optimized crystal structure of Pr2Dy2CIBr2Cl2.

Summary:
Distance to the lowest polymorph of the same formula in eV/atom: 0.000
E_tot in eV/atom: -5.13

abc: 8.910 8.910 8.955
angles: 103.30 103.30 25.55
Fractional coordinates of all 10 atoms:
Pr  0.002  0.002  0.305
Pr  0.998  0.998  0.695
Dy  0.358  0.358  0.431
Dy  0.642  0.642  0.569
C  0.500  0.500  0.500
I  0.500  0.500  0.000
Br  0.177  0.177  0.806
Br  0.823  0.823  0.194
Cl  0.175  0.175  0.375
Cl  0.825  0.825  0.625